# GGA-PBE CsLi2VS4, relaxed
data_CsLi2VS4
_chemical_formula_sum 'Cs2 Li4 V2 S8'
_cell_length_a 6.761
_cell_length_b 6.761
_cell_length_c 8.893
_cell_angle_alpha 90.00
_cell_angle_beta 90.00
_cell_angle_gamma 90.00
_symmetry_space_group_name_H-M 'I -4 2 m'
_symmetry_Int_Tables_number 121
_symmetry_space_group_name_Hall 'I -4 2'
loop_
_atom_site_label
_atom_site_type_symbol
_atom_site_fract_x
_atom_site_fract_y
_atom_site_fract_z
Cs1 Cs 0.000 0.000 0.000
Li1 Li 0.000 0.500 0.250
V1 V 0.000 0.000 0.500
S1 S 0.181 0.181 0.648
# * uncorrected formation energy: -1071.0 meV per atom
# * calculated total energy: -4.86 eV/atom
# * size of the total moment: 0.00 μB/atom